The following is a PBE calculation of a relaxed structure of ZrMoPd2, from Alexandria.

Unit cell a=6.5388 b=6.5388 c=6.5388 alpha=90.00 beta=90.00 gamma=90.00
Space group Fm-3m (No. 225)
One atom of each set of equivalent atoms:
Zr 0.0000 0.0000 0.0000 (multiplicity 4)
Mo 0.0000 0.0000 0.5000 (multiplicity 4)
Pd 0.2500 0.2500 0.2500 (multiplicity 8)

Results
Total energy (eV/atom): -7.496
Volume (Å³ per atom): 17.47
E_form (meV per atom): -54